Tl2NiHgPb | PBE | optimized geometry

Results
As for the offset from the most stable computed form: 82 meV/atom. Its density of states at the Fermi level is 3.39 states/eV/cell. For the energy of formation from the pure elements, the calculation gives 175 meV per atom.

a = 5.099 Å, b = 5.099 Å, c = 5.153 Å
α = 90.00°, β = 90.00°, γ = 90.00°
Positions (direct):
1 Tl 0.000 0.500 0.000
2 Tl 0.500 0.000 0.000
3 Ni 0.000 0.000 0.000
4 Hg 0.000 0.000 0.500
5 Pb 0.500 0.500 0.500